Density functional theory data (GGA+U) for RbCoCu2F8 after structural relaxation.

a = 7.915 Å, b = 7.915 Å, c = 7.915 Å
α = 38.66°, β = 38.66°, γ = 38.66°
Sites, in units of the cell vectors:
Rb 0.000 0.000 0.000
Co 0.500 0.500 0.500
Cu 0.220 0.220 0.220
Cu 0.780 0.780 0.780
F 0.178 0.413 0.770
F 0.230 0.822 0.587
F 0.303 0.303 0.303
F 0.413 0.770 0.178
F 0.587 0.230 0.822
F 0.697 0.697 0.697
F 0.770 0.178 0.413
F 0.822 0.587 0.230

Calculated values
E, eV/atom: -4.183
Calculated density, kg/m3: 4043
Space group: No. 148